Entry 1:
# La8PdN4 GGA-PBE relaxed
# Total energy, hartree per atom: -0.2498
# Size of the total moment, μB/cell: 2.5
# Formation energy without anion corrections, eV per atom: -0.805
data_La8PdN4
_symmetry_space_group_name_H-M 'P 1'
_symmetry_Int_Tables_number 1
_cell_length_a 7.830
_cell_length_b 7.830
_cell_length_c 7.830
_cell_angle_alpha 60.00
_cell_angle_beta 60.00
_cell_angle_gamma 60.00
loop_
_symmetry_equiv_pos_as_xyz
'x,y,z'
loop_
_atom_site_label
_atom_site_type_symbol
_atom_site_fract_x
_atom_site_fract_y
_atom_site_fract_z
_atom_site_occupancy
La1 La 0.581 0.140 0.140 1
La2 La 0.140 0.581 0.140 1
La3 La 0.140 0.140 0.581 1
La4 La 0.140 0.140 0.140 1
La5 La 0.182 0.606 0.606 1
La6 La 0.606 0.182 0.606 1
La7 La 0.606 0.606 0.182 1
La8 La 0.606 0.606 0.606 1
Pd1 Pd 0.750 0.750 0.750 1
N1 N 0.884 0.372 0.372 1
N2 N 0.372 0.884 0.372 1
N3 N 0.372 0.372 0.884 1
N4 N 0.372 0.372 0.372 1


Entry 2:
# LaInAgAs2 GGA-PBE relaxed
# ΔH_f (0 K), kJ per mole of atoms: 49.58
# Total energy, hartree per atom: -0.1268
# Size of the total moment, μB/cell: 0.0
data_LaInAgAs2
_symmetry_space_group_name_H-M 'P 1'
_symmetry_Int_Tables_number 1
_cell_length_a 5.147
_cell_length_b 6.047
_cell_length_c 5.147
_cell_angle_alpha 90.00
_cell_angle_beta 90.00
_cell_angle_gamma 90.00
loop_
_symmetry_equiv_pos_as_xyz
'x,y,z'
loop_
_atom_site_label
_atom_site_type_symbol
_atom_site_fract_x
_atom_site_fract_y
_atom_site_fract_z
_atom_site_occupancy
As1 As 0.000 0.000 0.500 1
As2 As 0.500 0.000 0.000 1
In1 In 0.000 0.000 0.000 1
Ag1 Ag 0.500 0.500 0.500 1
La1 La 0.000 0.500 0.000 1


Entry 3:
# Ce2DyMg2Sn2 GGA-PBE relaxed
# ΔH_f (0 K), kJ per mole of atoms: -27.53
# Total energy, hartree per atom: -0.1557
# Size of the total moment, μB/cell: 2.8
data_Ce2DyMg2Sn2
_symmetry_space_group_name_H-M 'P 1'
_symmetry_Int_Tables_number 1
_cell_length_a 4.829
_cell_length_b 4.829
_cell_length_c 9.414
_cell_angle_alpha 75.14
_cell_angle_beta 75.14
_cell_angle_gamma 60.00
loop_
_symmetry_equiv_pos_as_xyz
'x,y,z'
loop_
_atom_site_label
_atom_site_type_symbol
_atom_site_fract_x
_atom_site_fract_y
_atom_site_fract_z
_atom_site_occupancy
Ce1 Ce 0.142 0.142 0.575 1
Ce2 Ce 0.858 0.858 0.425 1
Dy1 Dy 0.000 0.000 0.000 1
Mg1 Mg 0.590 0.590 0.229 1
Mg2 Mg 0.410 0.410 0.771 1
Sn1 Sn 0.731 0.731 0.807 1
Sn2 Sn 0.269 0.269 0.193 1